# 1
Compound: K2CoPb
Source: the Alexandria database
Functional: PBEsol
Structure: relaxed

Cell and atoms, written as POSCAR:
```
K2CoPb
1.0
1.6895 0.9754 11.4210
-1.6895 0.9754 11.4210
0.0000 -1.9509 11.4210
K Co Pb
2 1 1
direct
0.2419 0.2419 0.2419 K
0.7581 0.7581 0.7581 K
0.5000 0.5000 0.5000 Co
0.0000 0.0000 0.0000 Pb
```

Computed properties:
Energy ... -2.652 eV/atom
Energy of formation ... 0.848 eV/atom



# 2
Compound: KCoPb2
Source: the Alexandria database
Functional: PBEsol
Structure: relaxed

Cell and atoms, written as POSCAR:
```
KCoPb2
1.0
0.0000 3.7061 3.7061
3.7061 0.0000 3.7061
3.7061 3.7061 0.0000
K Co Pb
1 1 2
direct
0.0000 0.0000 0.0000 K
0.7500 0.7500 0.7500 Co
0.2500 0.2500 0.2500 Pb
0.5000 0.5000 0.5000 Pb
```

Computed properties:
Energy ... -3.537 eV/atom
Energy of formation ... 0.680 eV/atom



# 3
Compound: K2CoPb
Source: the Alexandria database
Functional: PBEsol
Structure: relaxed

Cell and atoms, written as POSCAR:
```
K2CoPb
1.0
3.8113 -2.1958 0.0000
3.8113 2.1958 0.0000
-2.4199 0.0000 9.0954
K Co Pb
2 1 1
direct
0.0000 0.0000 0.0000 K
0.1697 0.1697 0.5353 K
0.7516 0.7516 0.2680 Co
0.4184 0.4184 0.2677 Pb
```

Computed properties:
Energy ... -3.127 eV/atom
Energy of formation ... 0.374 eV/atom